Record 1
Sr3SiGe4: optimized geometry, PBE.

As for the density of states at the Fermi level: 4.90 states/eV/f.u. Its formation energy from raw total energies is -2.59 eV/f.u.

Cell lengths 4.8804, 5.8510, 8.9224 Å; angles 109.14, 105.87, 90.00 degrees
With the nearest neighbours (Å) after each atom.
Atoms (fractional coordinates):
Sr 0.1926 0.1926 0.3852  6 Ge 3.21-3.31
Sr 0.8074 0.8074 0.6148  6 Ge 3.21-3.31
Sr 0.0000 0.5000 0.0000  8 Ge 3.32
Si 0.5000 0.0000 0.0000  4 Ge 2.53
Ge 0.3832 0.5942 0.7664  1 Ge 2.47, 1 Si 2.53
Ge 0.6168 0.4058 0.2336  1 Ge 2.47, 1 Si 2.53
Ge 0.6168 0.8278 0.2336  1 Ge 2.47, 1 Si 2.53
Ge 0.3832 0.1722 0.7664  1 Ge 2.47, 1 Si 2.53

Record 2
SrSi3Ge: optimized geometry, PBE.

As for the density of states at the Fermi level: 3.05 states/eV/f.u. Its formation energy from raw total energies is 2.39 eV/f.u.

Cell lengths 4.9284, 4.9284, 4.9284 Å; angles 90.00, 90.00, 90.00 degrees
With the nearest neighbours (Å) after each atom.
Atoms (fractional coordinates):
Sr 0.5000 0.5000 0.5000  12 Si 3.48
Ge 0.0000 0.0000 0.0000  6 Si 2.46
Si 0.0000 0.5000 0.0000  2 Ge 2.46
Si 0.0000 0.0000 0.5000  2 Ge 2.46
Si 0.5000 0.0000 0.0000  2 Ge 2.46

Record 3
SrSi2Ge2: optimized geometry, PBE.

As for the density of states at the Fermi level: 2.19 states/eV/f.u. Its formation energy from raw total energies is -0.41 eV/f.u.

Cell lengths 4.7289, 4.7289, 5.9608 Å; angles 66.63, 66.63, 90.00 degrees
With the nearest neighbours (Å) after each atom.
Atoms (fractional coordinates):
Sr 0.0000 0.0000 0.0000  8 Si 3.42, 10 Ge 3.51-3.64
Ge 0.3552 0.3552 0.2897  4 Si 2.58, 1 Ge 2.86
Ge 0.6448 0.6448 0.7103  4 Si 2.58, 1 Ge 2.86
Si 0.7500 0.2500 0.5000  4 Ge 2.58
Si 0.2500 0.7500 0.5000  4 Ge 2.58

Record 4
SrSiGe: optimized geometry, PBE.

As for the density of states at the Fermi level: 1.27 states/eV/f.u. Its formation energy from raw total energies is -1.06 eV/f.u.

Cell lengths 4.3137, 4.3137, 4.5884 Å; angles 90.00, 90.00, 120.00 degrees
With the nearest neighbours (Å) after each atom.
Atoms (fractional coordinates):
Sr 0.6667 0.3333 0.0000  6 Si 3.39, 6 Ge 3.39
Ge 0.0000 0.0000 0.5000  3 Si 2.49
Si 0.3333 0.6667 0.5000  3 Ge 2.49

Record 5
SrSiGe: optimized geometry, PBE.

As for the density of states at the Fermi level: 0.88 states/eV/f.u. Its formation energy from raw total energies is -1.18 eV/f.u.

Cell lengths 3.9821, 6.5141, 6.5141 Å; angles 82.01, 72.20, 72.20 degrees
With the nearest neighbours (Å) after each atom.
Atoms (fractional coordinates):
Sr 0.7335 0.2665 0.2665  4 Si 3.32, 6 Ge 3.37-3.49
Sr 0.2665 0.7335 0.7335  4 Si 3.32, 6 Ge 3.37-3.49
Si 0.5000 0.8647 0.1353  1 Si 2.31, 2 Ge 2.42
Si 0.5000 0.1353 0.8647  1 Si 2.31, 2 Ge 2.42
Ge 0.0000 0.2972 0.7028  2 Si 2.42
Ge 0.0000 0.7028 0.2972  2 Si 2.42

Record 6
Sr5Si2Ge: optimized geometry, PBE.

As for the density of states at the Fermi level: 4.61 states/eV/f.u. Its formation energy from raw total energies is -3.72 eV/f.u.

Cell lengths 8.0907, 8.0907, 9.8181 Å; angles 114.33, 114.33, 90.00 degrees
With the nearest neighbours (Å) after each atom.
Atoms (fractional coordinates):
Sr 0.5389 0.6804 0.7193  3 Si 3.28-3.31, 2 Ge 3.45
Sr 0.8196 0.9611 0.2807  3 Si 3.28-3.31, 2 Ge 3.45
Sr 0.0000 0.0000 0.0000  4 Si 3.29
Sr 0.5000 0.5000 0.0000  4 Si 3.29
Sr 0.1804 0.0389 0.7193  3 Si 3.28-3.31, 2 Ge 3.45
Sr 0.6804 0.1804 0.7193  3 Si 3.28-3.31, 2 Ge 3.45
Sr 0.0389 0.5389 0.7193  3 Si 3.28-3.31, 2 Ge 3.45
Sr 0.3196 0.8196 0.2807  3 Si 3.28-3.31, 2 Ge 3.45
Sr 0.9611 0.4611 0.2807  3 Si 3.28-3.31, 2 Ge 3.45
Sr 0.4611 0.3196 0.2807  3 Si 3.28-3.31, 2 Ge 3.45
Si 0.1079 0.3921 0.0000  1 Si 2.47
Si 0.6079 0.1079 0.0000  1 Si 2.47
Si 0.3921 0.8921 0.0000  1 Si 2.47
Si 0.8921 0.6079 0.0000  1 Si 2.47
Ge 0.7500 0.7500 0.5000  8 Sr 3.45
Ge 0.2500 0.2500 0.5000  8 Sr 3.45

Record 7
Sr8Si2Ge: optimized geometry, PBE.

As for the density of states at the Fermi level: 9.12 states/eV/f.u. Its formation energy from raw total energies is -2.67 eV/f.u.

Cell lengths 5.3898, 7.6596, 10.4753 Å; angles 101.06, 104.91, 90.00 degrees
With the nearest neighbours (Å) after each atom.
Atoms (fractional coordinates):
Sr 0.4096 0.5696 0.8192  1 Ge 3.44
Sr 0.6646 0.9644 0.3291  3 Si 3.27-3.37, 1 Ge 3.40, 1 Sr 3.64
Sr 0.7855 0.6713 0.5710  3 Si 3.18-3.32
Sr 0.9607 0.2037 0.9214  2 Ge 3.29, 1 Si 3.32
Sr 0.2145 0.3287 0.4290  3 Si 3.18-3.32
Sr 0.3354 0.0356 0.6709  3 Si 3.27-3.37, 1 Ge 3.40, 1 Sr 3.64
Sr 0.5904 0.4304 0.1808  1 Ge 3.44
Sr 0.0393 0.7963 0.0786  2 Ge 3.29, 1 Si 3.32
Si 0.8032 0.2686 0.6063  7 Sr 3.18-3.37
Si 0.1968 0.7314 0.3937  7 Sr 3.18-3.37
Ge 0.5000 0.0000 0.0000  8 Sr 3.29-3.44

Record 8
Sr3Si5Ge12: optimized geometry, PBE.

As for the density of states at the Fermi level: 6.99 states/eV/f.u. Its formation energy from raw total energies is 3.43 eV/f.u.

Cell lengths 13.8614, 13.8614, 13.8614 Å; angles 109.47, 109.47, 109.47 degrees
With the nearest neighbours (Å) after each atom.
Atoms (fractional coordinates):
Sr 0.7500 0.3750 0.1250  4 Ge 3.10
Sr 0.8750 0.7500 0.1250  4 Ge 3.10
Sr 0.3750 0.7500 0.6250  4 Ge 3.10
Sr 0.2500 0.1250 0.3750  4 Ge 3.10
Sr 0.8750 0.1250 0.2500  4 Ge 3.10
Sr 0.3750 0.6250 0.2500  4 Ge 3.10
Sr 0.6250 0.3750 0.7500  4 Ge 3.10
Sr 0.1250 0.8750 0.7500  4 Ge 3.10
Sr 0.7500 0.8750 0.6250  4 Ge 3.10
Sr 0.6250 0.2500 0.3750  4 Ge 3.10
Sr 0.1250 0.2500 0.8750  4 Ge 3.10
Sr 0.2500 0.6250 0.8750  4 Ge 3.10
Si 0.1250 0.3750 0.2500  4 Ge 2.39
Si 0.0000 0.5000 0.0000  6 Ge 2.58
Si 0.0000 0.0000 0.0000  6 Ge 2.58
Si 0.3750 0.2500 0.1250  4 Ge 2.39
Si 0.5000 0.0000 0.5000  6 Ge 2.58
Si 0.5000 0.5000 0.0000  6 Ge 2.58
Si 0.1250 0.7500 0.3750  4 Ge 2.39
Si 0.7500 0.1250 0.8750  4 Ge 2.39
Si 0.7500 0.6250 0.3750  4 Ge 2.39
Si 0.3750 0.1250 0.7500  4 Ge 2.39
Si 0.6250 0.8750 0.2500  4 Ge 2.39
Si 0.5000 0.5000 0.5000  6 Ge 2.58
Si 0.5000 0.0000 0.0000  6 Ge 2.58
Si 0.0000 0.0000 0.5000  6 Ge 2.58
Si 0.2500 0.3750 0.6250  4 Ge 2.39
Si 0.2500 0.8750 0.1250  4 Ge 2.39
Si 0.0000 0.5000 0.5000  6 Ge 2.58
Si 0.8750 0.2500 0.6250  4 Ge 2.39
Si 0.6250 0.7500 0.8750  4 Ge 2.39
Si 0.8750 0.6250 0.7500  4 Ge 2.39
Ge 0.6986 0.0667 0.0030  2 Si 2.39-2.58
Ge 0.3044 0.5030 0.4363  2 Si 2.39-2.58
Ge 0.9970 0.4333 0.3014  2 Si 2.39-2.58
Ge 0.5030 0.1986 0.0667  2 Si 2.39-2.58
Ge 0.6319 0.6986 0.6956  2 Si 2.39-2.58
Ge 0.9970 0.5637 0.1956  2 Si 2.39-2.58
Ge 0.3044 0.8014 0.3681  2 Si 2.39-2.58
Ge 0.0637 0.8681 0.0667  2 Si 2.39-2.58
Ge 0.5637 0.9970 0.6956  2 Si 2.39-2.58
Ge 0.6986 0.6319 0.1956  2 Si 2.39-2.58
Ge 0.8014 0.4970 0.4333  2 Si 2.39-2.58
Ge 0.8044 0.9363 0.0030  2 Si 2.39-2.58
Ge 0.0667 0.6986 0.5030  2 Si 2.39-2.58
Ge 0.4333 0.4363 0.1319  2 Si 2.39-2.58
Ge 0.1319 0.9363 0.4333  2 Si 2.39-2.58
Ge 0.3681 0.0667 0.5637  2 Si 2.39-2.58
Ge 0.1319 0.1956 0.1986  2 Si 2.39-2.58
Ge 0.4970 0.6956 0.0637  2 Si 2.39-2.58
Ge 0.8044 0.8681 0.3014  2 Si 2.39-2.58
Ge 0.0667 0.3681 0.0637  2 Si 2.39-2.58
Ge 0.4333 0.9970 0.8014  2 Si 2.39-2.58
Ge 0.5637 0.5667 0.3681  2 Si 2.39-2.58
Ge 0.9363 0.8044 0.5030  2 Si 2.39-2.58
Ge 0.8014 0.3044 0.8681  2 Si 2.39-2.58
Ge 0.4363 0.4333 0.6319  2 Si 2.39-2.58
Ge 0.0637 0.1956 0.4970  2 Si 2.39-2.58
Ge 0.1986 0.6956 0.1319  2 Si 2.39-2.58
Ge 0.1956 0.1319 0.6986  2 Si 2.39-2.58
Ge 0.5667 0.0030 0.1986  2 Si 2.39-2.58
Ge 0.9333 0.6319 0.9363  2 Si 2.39-2.58
Ge 0.5030 0.3044 0.9363  2 Si 2.39-2.58
Ge 0.6319 0.9333 0.4363  2 Si 2.39-2.58
Ge 0.8681 0.8044 0.8014  2 Si 2.39-2.58
Ge 0.8681 0.0637 0.5667  2 Si 2.39-2.58
Ge 0.9333 0.3014 0.4970  2 Si 2.39-2.58
Ge 0.1956 0.0637 0.9970  2 Si 2.39-2.58
Ge 0.5667 0.5637 0.8681  2 Si 2.39-2.58
Ge 0.4363 0.0030 0.3044  2 Si 2.39-2.58
Ge 0.3014 0.3681 0.8044  2 Si 2.39-2.58
Ge 0.1986 0.5030 0.5667  2 Si 2.39-2.58
Ge 0.9363 0.1319 0.9333  2 Si 2.39-2.58
Ge 0.6956 0.1986 0.6319  2 Si 2.39-2.58
Ge 0.4970 0.8014 0.9333  2 Si 2.39-2.58
Ge 0.0030 0.4363 0.8044  2 Si 2.39-2.58
Ge 0.3681 0.3014 0.3044  2 Si 2.39-2.58
Ge 0.0030 0.5667 0.6986  2 Si 2.39-2.58
Ge 0.6956 0.4970 0.5637  2 Si 2.39-2.58
Ge 0.3014 0.9333 0.9970  2 Si 2.39-2.58

Record 9
Sr2SiGe2: optimized geometry, PBE.

As for the density of states at the Fermi level: 1.96 states/eV/f.u. Its formation energy from raw total energies is -2.31 eV/f.u.

Cell lengths 4.6995, 6.2782, 10.1629 Å; angles 77.17, 76.63, 68.02 degrees
With the nearest neighbours (Å) after each atom.
Atoms (fractional coordinates):
Sr 0.7130 0.2221 0.3519  5 Ge 3.15-3.44, 4 Si 3.26-3.52
Sr 0.8964 0.2985 0.9087  6 Ge 3.13-3.45, 2 Si 3.30
Sr 0.2870 0.7779 0.6481  5 Ge 3.15-3.44, 4 Si 3.26-3.52
Sr 0.1036 0.7015 0.0913  6 Ge 3.13-3.45, 2 Si 3.30
Si 0.5504 0.2126 0.6867  3 Ge 2.46-2.58
Si 0.4496 0.7874 0.3133  3 Ge 2.46-2.58
Ge 0.0423 0.3255 0.5898  1 Ge 2.49, 2 Si 2.58
Ge 0.6113 0.8958 0.8817  1 Si 2.46
Ge 0.9577 0.6745 0.4102  1 Ge 2.49, 2 Si 2.58
Ge 0.3887 0.1042 0.1183  1 Si 2.46

Record 10
SrSi2Ge2: optimized geometry, PBE.

As for the density of states at the Fermi level: 1.33 states/eV/f.u. Its formation energy from raw total energies is 0.07 eV/f.u.

Cell lengths 7.7550, 7.7550, 3.7408 Å; angles 90.00, 90.00, 90.00 degrees
With the nearest neighbours (Å) after each atom.
Atoms (fractional coordinates):
Sr 0.0000 0.0000 0.0000  4 Si 3.13
Sr 0.5000 0.5000 0.0000  4 Si 3.13
Ge 0.1381 0.6381 0.5000  4 Si 2.70
Ge 0.6381 0.8619 0.5000  4 Si 2.70
Ge 0.8619 0.3619 0.5000  4 Si 2.70
Ge 0.3619 0.1381 0.5000  4 Si 2.70
Si 0.3877 0.8877 0.0000  1 Si 2.46, 4 Ge 2.70
Si 0.8877 0.6123 0.0000  1 Si 2.46, 4 Ge 2.70
Si 0.6123 0.1123 0.0000  1 Si 2.46, 4 Ge 2.70
Si 0.1123 0.3877 0.0000  1 Si 2.46, 4 Ge 2.70

Record 11
SrSi3Ge: optimized geometry, PBE.

As for the density of states at the Fermi level: 6.41 states/eV/f.u. Its formation energy from raw total energies is 8.90 eV/f.u.

Cell lengths 5.4439, 5.4439, 5.4439 Å; angles 90.00, 90.00, 90.00 degrees
With the nearest neighbours (Å) after each atom.
Atoms (fractional coordinates):
Sr 0.0000 0.0000 0.0000  6 Si 2.72
Ge 0.5000 0.5000 0.5000  12 Si 3.85
Si 0.0000 0.5000 0.0000  2 Sr 2.72
Si 0.0000 0.0000 0.5000  2 Sr 2.72
Si 0.5000 0.0000 0.0000  2 Sr 2.72

Record 12
Sr8SiGe2: optimized geometry, PBE.

As for the density of states at the Fermi level: 9.80 states/eV/f.u. Its formation energy from raw total energies is -3.19 eV/f.u.

Cell lengths 5.4222, 7.6376, 10.4844 Å; angles 101.24, 104.99, 90.00 degrees
With the nearest neighbours (Å) after each atom.
Atoms (fractional coordinates):
Sr 0.4106 0.5752 0.8211  1 Si 3.38
Sr 0.6621 0.9630 0.3241  3 Ge 3.31-3.38, 1 Si 3.35, 1 Sr 3.66
Sr 0.7856 0.6739 0.5712  3 Ge 3.20-3.34
Sr 0.9619 0.2019 0.9237  2 Si 3.29, 1 Ge 3.34
Sr 0.2144 0.3261 0.4288  3 Ge 3.20-3.34
Sr 0.3379 0.0370 0.6759  3 Ge 3.31-3.38, 1 Si 3.35, 1 Sr 3.66
Sr 0.5894 0.4248 0.1789  1 Si 3.38
Sr 0.0381 0.7981 0.0763  2 Si 3.29, 1 Ge 3.34
Si 0.5000 0.0000 0.0000  8 Sr 3.29-3.38
Ge 0.8037 0.2679 0.6073  7 Sr 3.20-3.38
Ge 0.1963 0.7321 0.3927  7 Sr 3.20-3.38

Q: formation energy from raw total energies of number 11 (SrSi3Ge)?
A: 8.90 eV/f.u.

Q: Which value of formation energy from raw total energies does entry 12 give?
A: -3.19 eV/f.u.

Q: Which of these has the highest formation energy from raw total energies?
A: number 11

Q: The highest formation energy from raw total energies belongs to which entry?
A: number 11